# 1
## Ac4PdSe2Cl (PBE)

Data for a relaxed Ac4PdSe2Cl crystal.

abc: 4.322 7.950 7.727
angles: 71.14 90.00 90.00
Positions (direct):
Ac 0.000 0.752 0.746
Ac 0.000 0.248 0.254
Ac 0.500 0.738 0.266
Ac 0.500 0.262 0.734
Pd 0.000 0.500 0.500
Se 0.000 0.000 0.000
Se 0.500 0.000 0.500
Cl 0.500 0.500 0.000

Formation energy without anion corrections   -1478.0 meV/atom
Crystal system   monoclinic
SG   P2/m, No. 10

# 2
## AgH2Pt (PBE)

Data for a relaxed AgH2Pt crystal.

abc: 2.978 2.978 5.686
angles: 74.82 74.82 60.00
Positions (direct):
Ag 0.494 0.494 0.517
H 0.054 0.054 0.838
H 0.283 0.283 0.151
Pt 0.669 0.669 0.994

ΔE to the lowest computed polymorph   100 meV per atom
Crystal system   trigonal
SG   R3m, No. 160

# 3
## ZrSi2As (PBE)

Data for a relaxed ZrSi2As crystal.

abc: 2.974 2.974 7.879
angles: 90.00 90.00 90.00
Positions (direct):
As 0.500 0.500 0.750
Si 0.000 0.000 0.998
Si 0.000 0.000 0.502
Zr 0.500 0.500 0.250

ΔE to the lowest computed polymorph   461 meV per atom
Formation energy without anion corrections   110.2 meV/atom
Crystal system   tetragonal
SG   P4/mmm, No. 123

# 4
## Ba2CdO (PBE)

Data for a relaxed Ba2CdO crystal.

abc: 5.580 5.580 5.580
angles: 60.00 60.00 60.00
Positions (direct):
Ba 0.250 0.250 0.250
Ba 0.750 0.750 0.750
O 0.000 0.000 0.000
Cd 0.500 0.500 0.500

ΔE to the lowest computed polymorph   787 meV per atom
Formation energy without anion corrections   -503.2 meV/atom
Crystal system   cubic
SG   Fm-3m, No. 225

# 5
## Sm2MgGe (PBE)

Data for a relaxed Sm2MgGe crystal.

abc: 4.151 4.944 4.944
angles: 90.00 90.00 90.00
Positions (direct):
Ge 0.500 0.000 0.000
Mg 0.500 0.500 0.500
Sm 0.000 0.000 0.500
Sm 0.000 0.500 0.000

Formation enthalpy at 0 K   -403 meV per atom
Crystal system   tetragonal
SG   P4/mmm, No. 123

# 6
## Ba7Cd2In2 (PBE)

Data for a relaxed Ba7Cd2In2 crystal.

abc: 7.913 8.931 7.913
angles: 89.99 110.40 90.01
Positions (direct):
Ba 0.000 0.287 0.500
Ba 0.500 0.713 0.000
Ba 0.000 0.713 0.500
Ba 0.500 0.287 0.000
Ba 0.000 0.000 0.000
Ba 0.500 0.726 0.500
Ba 0.500 0.274 0.500
Cd 0.703 0.000 0.297
Cd 0.297 0.000 0.703
In 0.840 0.500 0.840
In 0.160 0.500 0.160

Formation enthalpy at 0 K   -140 meV per atom
Crystal system   orthorhombic
SG   Cmmm, No. 65

# 7
## OsPdRuCl2 (PBE)

Data for a relaxed OsPdRuCl2 crystal.

abc: 4.522 5.236 4.522
angles: 90.00 90.00 90.00
Site moments in Bohr magnetons follow the coordinates.
Positions (direct):
Ru 0.500 0.500 0.500  2.63
Os 0.000 0.000 0.000  -0.41
Pd 0.000 0.500 0.000  0.08
Cl 0.000 0.000 0.500  0.01
Cl 0.500 0.000 0.000  0.00

Formation energy without anion corrections   1373.7 meV/atom
Crystal system   tetragonal
SG   P4/mmm, No. 123

# 8
## Cu2HgHF (PBE)

Data for a relaxed Cu2HgHF crystal.

abc: 4.981 4.981 4.743
angles: 90.00 90.00 90.00
Site moments in Bohr magnetons follow the coordinates.
Positions (direct):
H 0.500 0.500 0.500  0.34
Hg 0.000 0.000 0.000  -0.01
Cu 0.000 0.500 0.000  -0.01
Cu 0.500 0.000 0.000  -0.01
F 0.000 0.000 0.500  -0.01

Uncorrected energy   -9.8 eV per cell
Crystal system   tetragonal
SG   P4/mmm, No. 123

# 9
## KTl3Ru (PBE)

Data for a relaxed KTl3Ru crystal.

abc: 5.355 5.355 5.355
angles: 90.00 90.00 90.00
Positions (direct):
Ru 0.000 0.000 0.000
Tl 0.000 0.500 0.000
Tl 0.000 0.000 0.500
Tl 0.500 0.000 0.000
K 0.500 0.500 0.500

Formation enthalpy at 0 K   54 meV per atom
ΔE to the lowest computed polymorph   0 meV per atom
Crystal system   cubic
SG   Pm-3m, No. 221

# 10
## Co2GeHCl (PBE)

Data for a relaxed Co2GeHCl crystal.

abc: 4.035 5.497 4.035
angles: 90.00 90.00 90.00
Site moments in Bohr magnetons follow the coordinates.
Positions (direct):
H 0.500 0.500 0.500  0.02
Ge 0.000 0.500 0.000  -0.08
Co 0.000 0.000 0.500  1.15
Co 0.500 0.000 0.000  1.36
Cl 0.000 0.000 0.000  0.04

Uncorrected energy   -17.8 eV per cell
Crystal system   tetragonal
SG   P4/mmm, No. 123

# 11
## Sc3Tl3In (PBE)

Data for a relaxed Sc3Tl3In crystal.

abc: 5.246 8.637 8.637
angles: 120.00 90.00 90.00
Positions (direct):
Sc 0.750 0.641 0.538
Sc 0.750 0.462 0.103
Sc 0.750 0.897 0.359
Sc 0.250 0.359 0.462
Sc 0.250 0.538 0.897
Sc 0.250 0.103 0.641
Tl 0.250 0.795 0.747
Tl 0.250 0.253 0.048
Tl 0.250 0.952 0.205
Tl 0.750 0.205 0.253
Tl 0.750 0.747 0.952
Tl 0.750 0.048 0.795
In 0.250 0.667 0.333
In 0.750 0.333 0.667

Formation enthalpy at 0 K   -180 meV per atom
Crystal system   hexagonal
SG   P6_3/m, No. 176

# 12
## Ca2TbNd (PBE)

Data for a relaxed Ca2TbNd crystal.

abc: 4.172 4.172 8.394
angles: 90.00 90.00 90.00
Positions (direct):
Nd 0.500 0.500 0.500
Ca 0.000 0.000 0.755
Ca 0.000 0.000 0.245
Tb 0.500 0.500 0.000

Formation enthalpy at 0 K   148 meV per atom
ΔE to the lowest computed polymorph   104 meV per atom
Crystal system   tetragonal
SG   P4/mmm, No. 123

# 13
## ZnSeO4 (PBE)

Data for a relaxed ZnSeO4 crystal.

abc: 5.016 6.906 9.161
angles: 90.00 90.00 90.00
Positions (direct):
Zn 0.000 0.000 0.000
Zn 0.000 0.500 0.000
Zn 0.500 0.000 0.500
Zn 0.500 0.500 0.500
Se 0.467 0.250 0.180
Se 0.967 0.750 0.320
Se 0.033 0.250 0.680
Se 0.533 0.750 0.820
O 0.321 0.046 0.125
O 0.785 0.250 0.122
O 0.321 0.454 0.125
O 0.937 0.750 0.135
O 0.437 0.250 0.365
O 0.285 0.750 0.378
O 0.821 0.954 0.375
O 0.821 0.546 0.375
O 0.179 0.046 0.625
O 0.715 0.250 0.622
O 0.179 0.454 0.625
O 0.563 0.750 0.635
O 0.063 0.250 0.865
O 0.679 0.546 0.875
O 0.215 0.750 0.878
O 0.679 0.954 0.875

Formation energy without anion corrections   -886.2 meV/atom
Crystal system   orthorhombic
SG   Pnma, No. 62

# 14
## NaNdAg2 (PBE)

Data for a relaxed NaNdAg2 crystal.

abc: 3.717 3.717 7.381
angles: 90.00 90.00 90.00
Positions (direct):
Na 0.500 0.500 0.000
Nd 0.500 0.500 0.500
Ag 0.000 0.000 0.744
Ag 0.000 0.000 0.256

Formation enthalpy at 0 K   -106 meV per atom
ΔE to the lowest computed polymorph   10 meV per atom
Crystal system   tetragonal
SG   P4/mmm, No. 123

# 15
## Cr2Rh3 (PBE)

Data for a relaxed Cr2Rh3 crystal.

abc: 4.113 4.113 5.089
angles: 90.00 90.00 120.00
Site moments in Bohr magnetons follow the coordinates.
Positions (direct):
Cr 0.667 0.333 0.172  1.95
Cr 0.333 0.667 0.828  1.95
Rh 0.000 0.000 0.000  0.17
Rh 0.667 0.333 0.658  -0.15
Rh 0.333 0.667 0.342  -0.15

Formation enthalpy at 0 K   232 meV per atom
ΔE to the lowest computed polymorph   313 meV per atom
Crystal system   trigonal
SG   P-3m1, No. 164

# 16
## CsRb2Pb9 (PBE)

Data for a relaxed CsRb2Pb9 crystal.

abc: 7.035 7.035 11.385
angles: 72.00 72.00 60.00
Positions (direct):
Cs 0.000 0.000 0.000
Rb 0.859 0.859 0.424
Rb 0.141 0.141 0.576
Pb 0.662 0.662 0.014
Pb 0.338 0.338 0.986
Pb 0.500 0.500 0.500
Pb 0.415 0.415 0.251
Pb 0.919 0.415 0.251
Pb 0.415 0.919 0.251
Pb 0.585 0.585 0.749
Pb 0.585 0.081 0.749
Pb 0.081 0.585 0.749

Formation enthalpy at 0 K   -119 meV per atom
Crystal system   trigonal
SG   R-3m, No. 166

# 17
## GaPb3S (PBE)

Data for a relaxed GaPb3S crystal.

abc: 5.533 5.533 5.533
angles: 90.00 90.00 90.00
Positions (direct):
Pb 0.000 0.500 0.000
Pb 0.000 0.000 0.500
Pb 0.500 0.000 0.000
S 0.000 0.000 0.000
Ga 0.500 0.500 0.500

ΔE to the lowest computed polymorph   0 meV per atom
Formation energy without anion corrections   239.2 meV/atom
Crystal system   cubic
SG   Pm-3m, No. 221

# 18
## Tb2Pr3Nd2 (PBE)

Data for a relaxed Tb2Pr3Nd2 crystal.

abc: 3.569 8.807 9.083
angles: 118.14 101.33 90.00
Positions (direct):
Tb 0.564 0.906 0.128
Tb 0.436 0.094 0.872
Pr 0.000 0.500 0.000
Pr 0.214 0.804 0.427
Pr 0.786 0.196 0.573
Nd 0.856 0.677 0.711
Nd 0.144 0.323 0.289

Formation enthalpy at 0 K   98 meV per atom
ΔE to the lowest computed polymorph   83 meV per atom
Crystal system   monoclinic
SG   C2/m, No. 12

# 19
## KReRu (PBE)

Data for a relaxed KReRu crystal.

abc: 8.373 8.176 2.763
angles: 84.44 76.38 19.17
Positions (direct):
K 0.003 0.003 0.997
Re 0.313 0.313 0.687
Ru 0.684 0.684 0.316

Formation enthalpy at 0 K   1002 meV per atom
ΔE to the lowest computed polymorph   142 meV per atom
Crystal system   orthorhombic
SG   Fmm2, No. 42

# 20
## PmDyCdRu (PBE)

Data for a relaxed PmDyCdRu crystal.

abc: 3.505 3.505 7.786
angles: 90.00 90.00 90.00
Positions (direct):
Pm 0.500 0.500 0.786
Dy 0.500 0.500 0.355
Cd 0.000 0.000 0.081
Ru 0.000 0.000 0.562

Formation enthalpy at 0 K   -338 meV per atom
ΔE to the lowest computed polymorph   0 meV per atom
Crystal system   tetragonal
SG   P4mm, No. 99

# 21
## CsLa2Au (PBE)

Data for a relaxed CsLa2Au crystal.

abc: 5.611 5.611 5.611
angles: 60.00 60.00 60.00
Positions (direct):
Cs 0.000 0.000 0.000
Au 0.500 0.500 0.500
La 0.250 0.250 0.250
La 0.750 0.750 0.750

Formation enthalpy at 0 K   111 meV per atom
ΔE to the lowest computed polymorph   18 meV per atom
Crystal system   cubic
SG   Fm-3m, No. 225

# 22
## ThBrF (PBE)

Data for a relaxed ThBrF crystal.

abc: 3.510 7.843 11.255
angles: 90.00 90.00 90.00
Positions (direct):
Br 0.250 0.875 0.640
Br 0.250 0.625 0.140
Br 0.750 0.125 0.360
Br 0.750 0.375 0.860
F 0.250 0.331 0.594
F 0.250 0.169 0.094
F 0.750 0.669 0.406
F 0.750 0.831 0.906
Th 0.250 0.058 0.880
Th 0.250 0.442 0.380
Th 0.750 0.942 0.120
Th 0.750 0.558 0.620

Formation energy without anion corrections   -2092.7 meV/atom
Crystal system   orthorhombic
SG   Pnma, No. 62

# 23
## AsPPb (PBE)

Data for a relaxed AsPPb crystal.

abc: 3.500 3.500 6.742
angles: 90.00 90.00 120.00
Positions (direct):
As 0.000 0.000 0.258
P 0.667 0.333 0.058
Pb 0.333 0.667 0.684

Formation enthalpy at 0 K   91 meV per atom
ΔE to the lowest computed polymorph   16 meV per atom
Crystal system   trigonal
SG   P3m1, No. 156

# 24
## RbNpPbO6 (PBE)

Data for a relaxed RbNpPbO6 crystal.

abc: 7.542 8.095 7.912
angles: 120.77 118.46 90.00
Positions (direct):
Rb 0.906 0.656 0.812
Rb 0.094 0.344 0.188
Np 0.500 0.500 0.000
Np 0.500 0.000 0.000
Pb 0.500 0.000 0.500
Pb 0.000 0.000 0.500
O 0.449 0.699 0.897
O 0.834 0.084 0.668
O 0.804 0.067 0.235
O 0.431 0.668 0.235
O 0.431 0.067 0.235
O 0.804 0.668 0.235
O 0.551 0.301 0.103
O 0.166 0.916 0.332
O 0.196 0.933 0.765
O 0.569 0.332 0.765
O 0.569 0.933 0.765
O 0.196 0.332 0.765

Formation energy without anion corrections   -1866.8 meV/atom
Crystal system   orthorhombic
SG   Imma, No. 74

# 25
## TbSm2Y2Er (PBE)

Data for a relaxed TbSm2Y2Er crystal.

abc: 3.370 6.727 17.597
angles: 90.00 90.00 90.00
Positions (direct):
Tb 0.500 0.500 0.000
Tb 0.000 0.000 0.500
Sm 0.500 0.254 0.327
Sm 0.000 0.754 0.173
Sm 0.500 0.746 0.673
Sm 0.000 0.246 0.827
Y 0.500 0.761 0.346
Y 0.500 0.239 0.654
Y 0.000 0.739 0.846
Y 0.000 0.261 0.154
Er 0.000 0.000 0.000
Er 0.500 0.500 0.500

Formation enthalpy at 0 K   283 meV per atom
Crystal system   orthorhombic
SG   Pnnm, No. 58

Number 1: total moment 0.00 μB per cell. Number 2: total moment 0.00 μB per cell. Number 3: total moment 0.00 μB per cell. Number 4: total moment 0.00 μB per cell. Number 5: total moment 0.00 μB per cell. Number 6: total moment 0.00 μB per cell. Number 7: total moment 2.51 μB per cell. Number 8: total moment 0.71 μB per cell. Number 9: total moment 0.00 μB per cell. Number 10: total moment 2.24 μB per cell. Number 11: total moment 0.02 μB per cell. Number 12: total moment 0.00 μB per cell. Number 13: total moment 0.00 μB per cell. Number 14: total moment 0.00 μB per cell. Number 15: total moment 3.92 μB per cell. Number 16: total moment 0.00 μB per cell. Number 17: total moment 0.00 μB per cell. Number 18: total moment 0.00 μB per cell. Number 19: total moment 0.00 μB per cell. Number 20: total moment 0.00 μB per cell. Number 21: total moment 0.00 μB per cell. Number 22: total moment 0.00 μB per cell. Number 23: total moment 0.00 μB per cell. Number 24: total moment 0.00 μB per cell. Number 25: total moment 0.00 μB per cell.